Entry 1:
A relaxed Ho3ZnCu4 crystal. Source: Alexandria, functional PBE.

Computed properties:
DOS(E_F): 12.5 states/eV per cell
Calculated formation energy: -0.727 eV per formula unit
Total energy: -4.015 eV per atom

abc: 3.867 6.441 13.360
angles: 90.00 90.00 90.00
Space group Immm (No. 71)
Unique sites:
Ho: 0.000 0.000 0.000 x2
Ho: 0.000 0.500 0.188 x4
Zn: 0.000 0.000 0.500 x2
Cu: 0.000 0.305 0.377 x8



Entry 2:
A relaxed HoZnCu3 crystal. Source: Alexandria, functional PBE.

Computed properties:
DOS(E_F): 5.8 states/eV per cell
Calculated formation energy: -0.817 eV per formula unit
Total energy: -3.791 eV per atom

abc: 3.805 3.805 11.317
angles: 90.00 90.00 90.00
Space group I4mm (No. 107)
Unique sites:
Ho: 0.000 0.000 0.000 x2
Zn: 0.000 0.000 0.622 x2
Cu: 0.000 0.000 0.404 x2
Cu: 0.000 0.500 0.264 x4



Entry 3:
A relaxed HoZn12Cu4 crystal. Source: Alexandria, functional PBE.

Computed properties:
DOS(E_F): 13.0 states/eV per cell
Calculated formation energy: 2.895 eV per formula unit
Total energy: -1.962 eV per atom

abc: 8.497 8.497 8.497
angles: 90.00 90.00 90.00
Space group Im-3 (No. 204)
Unique sites:
Ho: 0.000 0.000 0.000 x2
Zn: 0.000 0.350 0.157 x24
Cu: 0.250 0.250 0.250 x8



Entry 4:
A relaxed HoZn8Cu4 crystal. Source: Alexandria, functional PBE.

Computed properties:
DOS(E_F): 13.1 states/eV per cell
Calculated formation energy: -2.607 eV per formula unit
Total energy: -2.597 eV per atom

abc: 8.797 8.797 4.968
angles: 90.00 90.00 90.00
Space group I4/mmm (No. 139)
Unique sites:
Ho: 0.000 0.000 0.000 x2
Zn: 0.000 0.218 0.500 x8
Zn: 0.000 0.347 0.000 x8
Cu: 0.250 0.250 0.250 x8



Entry 5:
A relaxed Ho12ZnCu6 crystal. Source: Alexandria, functional PBE.

Computed properties:
DOS(E_F): 59.3 states/eV per cell
Calculated formation energy: -0.201 eV per formula unit
Total energy: -4.262 eV per atom

abc: 13.7943 13.7943 8.5827
angles: 90.00 90.00 120.00
Space group R-3 (No. 148, hexagonal axes)
Unique sites:
Ho: 0.0391 0.8652 0.3337 x18
Ho: 0.0640 0.8111 0.9448 x18
Zn: 0.0000 0.0000 0.0000 x3
Cu: 0.0373 0.7747 0.6205 x18



Entry 6:
A relaxed Ho2Zn3Cu5 crystal. Source: Alexandria, functional PBE.

Computed properties:
DOS(E_F): 18.8 states/eV per cell
Calculated formation energy: -1.988 eV per formula unit
Total energy: -3.545 eV per atom

abc: 10.846 11.181 5.516
angles: 90.00 90.00 90.00
Space group Ibam (No. 72)
Unique sites:
Ho: 0.246 0.125 0.000 x8
Zn: 0.000 0.500 0.250 x4
Zn: 0.131 0.129 0.500 x8
Cu: 0.000 0.000 0.250 x4
Cu: 0.000 0.259 0.250 x8
Cu: 0.146 0.376 0.000 x8



Entry 7:
A relaxed Ho5Zn2Cu12 crystal. Source: Alexandria, functional PBE.

Computed properties:
DOS(E_F): 18.1 states/eV per cell
Calculated formation energy: -3.186 eV per formula unit
Total energy: -4.094 eV per atom

abc: 14.608 6.746 6.492
angles: 90.00 92.22 90.00
Space group C2/m (No. 12)
Unique sites:
Ho: 0.000 0.000 0.000 x2
Ho: 0.197 0.500 0.544 x4
Ho: 0.243 0.000 0.939 x4
Zn: 0.000 0.288 0.500 x4
Cu: 0.053 0.500 0.174 x4
Cu: 0.100 0.309 0.850 x8
Cu: 0.109 0.000 0.594 x4
Cu: 0.138 0.187 0.257 x8



Entry 8:
A relaxed Ho3Zn3Cu crystal. Source: Alexandria, functional PBE.

Computed properties:
DOS(E_F): 14.4 states/eV per cell
Calculated formation energy: -2.091 eV per formula unit
Total energy: -3.392 eV per atom

abc: 3.602 4.419 18.795
angles: 90.00 90.00 90.00
Space group Imm2 (No. 44)
Unique sites:
Ho: 0.000 0.000 0.000 x2
Ho: 0.000 0.000 0.382 x2
Ho: 0.000 0.500 0.198 x2
Zn: 0.000 0.000 0.554 x2
Zn: 0.000 0.000 0.832 x2
Zn: 0.000 0.500 0.629 x2
Cu: 0.000 0.500 0.760 x2



Entry 9:
A relaxed Ho3Zn2Cu2 crystal. Source: Alexandria, functional PBE.

Computed properties:
DOS(E_F): 6.4 states/eV per cell
Calculated formation energy: -0.627 eV per formula unit
Total energy: -3.586 eV per atom

abc: 4.682 4.686 8.955
angles: 75.46 75.34 60.20
Space group P-1 (No. 2)
Unique sites:
Ho: 0.000 0.000 0.000 x1
Ho: 0.216 0.217 0.354 x2
Zn: 0.401 0.401 0.796 x2
Cu: 0.102 0.102 0.692 x2



Entry 10:
A relaxed HoZnCu crystal. Source: Alexandria, functional PBE.

Computed properties:
DOS(E_F): 13.7 states/eV per cell
Calculated formation energy: -0.406 eV per formula unit
Total energy: -3.451 eV per atom

abc: 6.308 6.308 6.308
angles: 90.00 90.00 90.00
Space group F-43m (No. 216)
Unique sites:
Ho: 0.000 0.000 0.000 x4
Zn: 0.000 0.000 0.500 x4
Cu: 0.250 0.250 0.750 x4